## Rb3TeAs (GGA-PBE)

Data for a relaxed structure of Rb3TeAs.

Structure (CIF):
```
data_Rb3TeAs
_chemical_formula_sum 'Rb3 Te1 As1'
_cell_length_a 6.917
_cell_length_b 6.917
_cell_length_c 6.917
_cell_angle_alpha 90.00
_cell_angle_beta 90.00
_cell_angle_gamma 90.00
_space_group_name_H-M_alt 'P 1'
_space_group_IT_number 1
loop_
_space_group_symop_operation_xyz
'x,y,z'
loop_
_atom_site_label
_atom_site_type_symbol
_atom_site_fract_x
_atom_site_fract_y
_atom_site_fract_z
_atom_site_occupancy
Rb1 Rb 0.000 0.000 0.500 1
Rb2 Rb 0.000 0.500 0.000 1
Rb3 Rb 0.500 0.000 0.000 1
Te1 Te 0.000 0.000 0.000 1
As1 As 0.500 0.500 0.500 1
```

For the formation energy (no corrections), the calculation gives -229.2 meV/atom. Its space group is No. 221. Its energy above the most stable polymorph in this dataset is 423.7 meV per atom. The calculation puts the total moment at 2.00 μB/cell.



## RbTeAs3 (GGA-PBE)

Data for a relaxed structure of RbTeAs3.

Structure (CIF):
```
data_RbTeAs3
_chemical_formula_sum 'Rb1 Te1 As3'
_cell_length_a 5.584
_cell_length_b 5.584
_cell_length_c 5.584
_cell_angle_alpha 90.00
_cell_angle_beta 90.00
_cell_angle_gamma 90.00
_space_group_name_H-M_alt 'P 1'
_space_group_IT_number 1
loop_
_space_group_symop_operation_xyz
'x,y,z'
loop_
_atom_site_label
_atom_site_type_symbol
_atom_site_fract_x
_atom_site_fract_y
_atom_site_fract_z
_atom_site_occupancy
Rb1 Rb 0.000 0.000 0.000 1
Te1 Te 0.500 0.500 0.500 1
As1 As 0.000 0.000 0.500 1
As2 As 0.000 0.500 0.000 1
As3 As 0.500 0.000 0.000 1
```

For the formation energy (no corrections), the calculation gives 1744.6 meV/atom. Its space group is No. 221. Its energy above the most stable polymorph in this dataset is 1250.3 meV per atom. The calculation puts the total moment at 0.00 μB/cell.



## Rb3Te7As2 (GGA-PBE)

Data for a relaxed structure of Rb3Te7As2.

Structure (CIF):
```
data_Rb3Te7As2
_chemical_formula_sum 'Rb3 Te7 As2'
_cell_length_a 6.006
_cell_length_b 4.957
_cell_length_c 16.200
_cell_angle_alpha 90.00
_cell_angle_beta 97.74
_cell_angle_gamma 90.00
_space_group_name_H-M_alt 'P 1'
_space_group_IT_number 1
loop_
_space_group_symop_operation_xyz
'x,y,z'
loop_
_atom_site_label
_atom_site_type_symbol
_atom_site_fract_x
_atom_site_fract_y
_atom_site_fract_z
_atom_site_occupancy
Rb1 Rb 0.000 0.000 0.000 1
Rb2 Rb 0.267 0.500 0.396 1
Rb3 Rb 0.733 0.500 0.604 1
Te1 Te 0.184 0.000 0.217 1
Te2 Te 0.200 0.000 0.589 1
Te3 Te 0.468 0.500 0.812 1
Te4 Te 0.500 0.500 0.000 1
Te5 Te 0.532 0.500 0.188 1
Te6 Te 0.800 0.000 0.411 1
Te7 Te 0.816 0.000 0.783 1
As1 As 0.239 0.000 0.752 1
As2 As 0.761 0.000 0.248 1
```

For the formation energy (no corrections), the calculation gives -370.3 meV/atom. Its space group is No. 10. The calculation puts the total moment at 0.00 μB/cell.



## RbTeAs3 (GGA-PBE)

Data for a relaxed structure of RbTeAs3.

Structure (CIF):
```
data_RbTeAs3
_chemical_formula_sum 'Rb1 Te1 As3'
_cell_length_a 5.494
_cell_length_b 5.494
_cell_length_c 5.494
_cell_angle_alpha 90.00
_cell_angle_beta 90.00
_cell_angle_gamma 90.00
_space_group_name_H-M_alt 'P 1'
_space_group_IT_number 1
loop_
_space_group_symop_operation_xyz
'x,y,z'
loop_
_atom_site_label
_atom_site_type_symbol
_atom_site_fract_x
_atom_site_fract_y
_atom_site_fract_z
_atom_site_occupancy
Rb1 Rb 0.000 0.000 0.000 1
Te1 Te 0.500 0.500 0.500 1
As1 As 0.000 0.500 0.500 1
As2 As 0.500 0.000 0.500 1
As3 As 0.500 0.500 0.000 1
```

For the formation energy (no corrections), the calculation gives 494.3 meV/atom. Its space group is No. 221. Its energy above the most stable polymorph in this dataset is 0.0 meV per atom. The calculation puts the total moment at 1.35 μB/cell.



## Rb3TeAs (GGA-PBE)

Data for a relaxed structure of Rb3TeAs.

Structure (CIF):
```
data_Rb3TeAs
_chemical_formula_sum 'Rb6 Te2 As2'
_cell_length_a 4.761
_cell_length_b 9.920
_cell_length_c 9.990
_cell_angle_alpha 71.03
_cell_angle_beta 90.00
_cell_angle_gamma 76.16
_space_group_name_H-M_alt 'P 1'
_space_group_IT_number 1
loop_
_space_group_symop_operation_xyz
'x,y,z'
loop_
_atom_site_label
_atom_site_type_symbol
_atom_site_fract_x
_atom_site_fract_y
_atom_site_fract_z
_atom_site_occupancy
Rb1 Rb 0.080 0.340 0.132 1
Rb2 Rb 0.216 0.067 0.816 1
Rb3 Rb 0.411 0.678 0.523 1
Rb4 Rb 0.589 0.322 0.477 1
Rb5 Rb 0.784 0.933 0.184 1
Rb6 Rb 0.920 0.660 0.868 1
Te1 Te 0.418 0.664 0.152 1
Te2 Te 0.582 0.336 0.848 1
As1 As 0.222 0.057 0.463 1
As2 As 0.778 0.943 0.537 1
```

For the formation energy (no corrections), the calculation gives -652.9 meV/atom. Its space group is No. 2. Its energy above the most stable polymorph in this dataset is 0.0 meV per atom. The calculation puts the total moment at 0.00 μB/cell.



## Rb3Te3As (GGA-PBE)

Data for a relaxed structure of Rb3Te3As.

Structure (CIF):
```
data_Rb3Te3As
_chemical_formula_sum 'Rb6 Te6 As2'
_cell_length_a 8.804
_cell_length_b 8.804
_cell_length_c 9.265
_cell_angle_alpha 92.78
_cell_angle_beta 92.78
_cell_angle_gamma 112.09
_space_group_name_H-M_alt 'P 1'
_space_group_IT_number 1
loop_
_space_group_symop_operation_xyz
'x,y,z'
loop_
_atom_site_label
_atom_site_type_symbol
_atom_site_fract_x
_atom_site_fract_y
_atom_site_fract_z
_atom_site_occupancy
Rb1 Rb 0.174 0.826 0.000 1
Rb2 Rb 0.222 0.778 0.500 1
Rb3 Rb 0.376 0.376 0.141 1
Rb4 Rb 0.624 0.624 0.859 1
Rb5 Rb 0.778 0.222 0.500 1
Rb6 Rb 0.826 0.174 0.000 1
Te1 Te 0.057 0.057 0.286 1
Te2 Te 0.164 0.459 0.787 1
Te3 Te 0.459 0.164 0.787 1
Te4 Te 0.541 0.836 0.213 1
Te5 Te 0.836 0.541 0.213 1
Te6 Te 0.943 0.943 0.714 1
As1 As 0.201 0.201 0.652 1
As2 As 0.799 0.799 0.348 1
```

For the formation energy (no corrections), the calculation gives -713.3 meV/atom. Its space group is No. 12. The calculation puts the total moment at 0.00 μB/cell.



## RbTe4As2 (GGA-PBE)

Data for a relaxed structure of RbTe4As2.

Structure (CIF):
```
data_RbTe4As2
_chemical_formula_sum 'Rb2 Te8 As4'
_cell_length_a 7.166
_cell_length_b 9.607
_cell_length_c 10.127
_cell_angle_alpha 108.85
_cell_angle_beta 102.89
_cell_angle_gamma 106.61
_space_group_name_H-M_alt 'P 1'
_space_group_IT_number 1
loop_
_space_group_symop_operation_xyz
'x,y,z'
loop_
_atom_site_label
_atom_site_type_symbol
_atom_site_fract_x
_atom_site_fract_y
_atom_site_fract_z
_atom_site_occupancy
Rb1 Rb 0.000 0.000 0.000 1
Rb2 Rb 0.212 0.746 0.352 1
Te1 Te 0.258 0.255 0.474 1
Te2 Te 0.288 0.338 0.890 1
Te3 Te 0.372 0.725 0.737 1
Te4 Te 0.588 0.149 0.424 1
Te5 Te 0.695 0.798 0.208 1
Te6 Te 0.746 0.347 0.142 1
Te7 Te 0.797 0.657 0.587 1
Te8 Te 0.933 0.413 0.840 1
As1 As 0.005 0.472 0.609 1
As2 As 0.503 0.512 0.182 1
As3 As 0.547 0.514 0.706 1
As4 As 0.554 0.071 0.147 1
```

For the formation energy (no corrections), the calculation gives -173.2 meV/atom. Its space group is No. 1. Its energy above the most stable polymorph in this dataset is 0.0 meV per atom. The calculation puts the total moment at 0.00 μB/cell.



## Rb4Te5As2 (GGA-PBE)

Data for a relaxed structure of Rb4Te5As2.

Structure (CIF):
```
data_Rb4Te5As2
_chemical_formula_sum 'Rb8 Te10 As4'
_cell_length_a 12.183
_cell_length_b 12.183
_cell_length_c 12.183
_cell_angle_alpha 114.20
_cell_angle_beta 75.05
_cell_angle_gamma 148.00
_space_group_name_H-M_alt 'P 1'
_space_group_IT_number 1
loop_
_space_group_symop_operation_xyz
'x,y,z'
loop_
_atom_site_label
_atom_site_type_symbol
_atom_site_fract_x
_atom_site_fract_y
_atom_site_fract_z
_atom_site_occupancy
Rb1 Rb 0.095 0.752 0.846 1
Rb2 Rb 0.170 0.097 0.266 1
Rb3 Rb 0.330 0.597 0.927 1
Rb4 Rb 0.405 0.252 0.657 1
Rb5 Rb 0.595 0.748 0.343 1
Rb6 Rb 0.670 0.403 0.073 1
Rb7 Rb 0.830 0.903 0.734 1
Rb8 Rb 0.905 0.248 0.154 1
Te1 Te 0.049 0.417 0.465 1
Te2 Te 0.233 0.359 0.592 1
Te3 Te 0.250 0.250 0.000 1
Te4 Te 0.267 0.859 0.127 1
Te5 Te 0.451 0.917 0.368 1
Te6 Te 0.549 0.083 0.632 1
Te7 Te 0.733 0.141 0.873 1
Te8 Te 0.750 0.750 0.000 1
Te9 Te 0.767 0.641 0.408 1
Te10 Te 0.951 0.583 0.535 1
As1 As 0.095 0.750 0.345 1
As2 As 0.405 0.750 0.655 1
As3 As 0.595 0.250 0.345 1
As4 As 0.905 0.250 0.655 1
```

For the formation energy (no corrections), the calculation gives -483.0 meV/atom. Its space group is No. 72. The calculation puts the total moment at 0.00 μB/cell.



## RbTeAs (GGA-PBE)

Data for a relaxed structure of RbTeAs.

Structure (CIF):
```
data_RbTeAs
_chemical_formula_sum 'Rb2 Te2 As2'
_cell_length_a 4.165
_cell_length_b 6.258
_cell_length_c 9.311
_cell_angle_alpha 74.69
_cell_angle_beta 77.10
_cell_angle_gamma 89.99
_space_group_name_H-M_alt 'P 1'
_space_group_IT_number 1
loop_
_space_group_symop_operation_xyz
'x,y,z'
loop_
_atom_site_label
_atom_site_type_symbol
_atom_site_fract_x
_atom_site_fract_y
_atom_site_fract_z
_atom_site_occupancy
Rb1 Rb 0.000 0.000 0.000 1
Rb2 Rb 0.187 0.701 0.624 1
Te1 Te 0.508 0.495 0.001 1
Te2 Te 0.697 0.206 0.623 1
As1 As 0.024 0.226 0.340 1
As2 As 0.552 0.476 0.284 1
```

For the formation energy (no corrections), the calculation gives -515.0 meV/atom. Its space group is No. 1. Its energy above the most stable polymorph in this dataset is 0.0 meV per atom. The calculation puts the total moment at 0.00 μB/cell.



## Rb3Te3As (GGA-PBE)

Data for a relaxed structure of Rb3Te3As.

Structure (CIF):
```
data_Rb3Te3As
_chemical_formula_sum 'Rb12 Te12 As4'
_cell_length_a 14.212
_cell_length_b 5.537
_cell_length_c 15.639
_cell_angle_alpha 90.00
_cell_angle_beta 90.00
_cell_angle_gamma 90.00
_space_group_name_H-M_alt 'P 1'
_space_group_IT_number 1
loop_
_space_group_symop_operation_xyz
'x,y,z'
loop_
_atom_site_label
_atom_site_type_symbol
_atom_site_fract_x
_atom_site_fract_y
_atom_site_fract_z
_atom_site_occupancy
Rb1 Rb 0.069 0.250 0.104 1
Rb2 Rb 0.136 0.750 0.476 1
Rb3 Rb 0.232 0.750 0.781 1
Rb4 Rb 0.268 0.250 0.281 1
Rb5 Rb 0.364 0.250 0.976 1
Rb6 Rb 0.431 0.750 0.604 1
Rb7 Rb 0.569 0.250 0.396 1
Rb8 Rb 0.636 0.750 0.024 1
Rb9 Rb 0.732 0.750 0.719 1
Rb10 Rb 0.768 0.250 0.219 1
Rb11 Rb 0.864 0.250 0.524 1
Rb12 Rb 0.931 0.750 0.896 1
Te1 Te 0.008 0.250 0.331 1
Te2 Te 0.102 0.250 0.869 1
Te3 Te 0.226 0.250 0.618 1
Te4 Te 0.274 0.750 0.118 1
Te5 Te 0.398 0.750 0.369 1
Te6 Te 0.492 0.750 0.831 1
Te7 Te 0.508 0.250 0.169 1
Te8 Te 0.602 0.250 0.631 1
Te9 Te 0.726 0.250 0.882 1
Te10 Te 0.774 0.750 0.382 1
Te11 Te 0.898 0.750 0.131 1
Te12 Te 0.992 0.750 0.669 1
As1 As 0.061 0.250 0.700 1
As2 As 0.439 0.750 0.200 1
As3 As 0.561 0.250 0.800 1
As4 As 0.939 0.750 0.300 1
```

For the formation energy (no corrections), the calculation gives -721.5 meV/atom. Its space group is No. 62. The calculation puts the total moment at 0.00 μB/cell.



## RbThTeAs (GGA-PBE)

Data for a relaxed structure of RbThTeAs.

Structure (CIF):
```
data_RbThTeAs
_chemical_formula_sum 'Rb1 Th1 Te1 As1'
_cell_length_a 8.888
_cell_length_b 8.888
_cell_length_c 8.888
_cell_angle_alpha 29.27
_cell_angle_beta 29.27
_cell_angle_gamma 29.27
_space_group_name_H-M_alt 'P 1'
_space_group_IT_number 1
loop_
_space_group_symop_operation_xyz
'x,y,z'
loop_
_atom_site_label
_atom_site_type_symbol
_atom_site_fract_x
_atom_site_fract_y
_atom_site_fract_z
_atom_site_occupancy
Rb1 Rb 0.000 0.000 0.000 1
Th1 Th 0.183 0.183 0.183 1
Te1 Te 0.773 0.773 0.773 1
As1 As 0.570 0.570 0.570 1
```

For the formation energy (no corrections), the calculation gives -1135.3 meV/atom. Its space group is No. 160. The calculation puts the total moment at 0.00 μB/cell.



## RbTlTe2As (GGA-PBE)

Data for a relaxed structure of RbTlTe2As.

Structure (CIF):
```
data_RbTlTe2As
_chemical_formula_sum 'Rb1 Tl1 Te2 As1'
_cell_length_a 6.454
_cell_length_b 6.454
_cell_length_c 6.336
_cell_angle_alpha 90.00
_cell_angle_beta 90.00
_cell_angle_gamma 90.00
_space_group_name_H-M_alt 'P 1'
_space_group_IT_number 1
loop_
_space_group_symop_operation_xyz
'x,y,z'
loop_
_atom_site_label
_atom_site_type_symbol
_atom_site_fract_x
_atom_site_fract_y
_atom_site_fract_z
_atom_site_occupancy
Rb1 Rb 0.000 0.000 0.000 1
Tl1 Tl 0.500 0.500 0.500 1
Te1 Te 0.000 0.500 0.000 1
Te2 Te 0.500 0.000 0.000 1
As1 As 0.000 0.000 0.500 1
```

For the formation energy (no corrections), the calculation gives 796.3 meV/atom. Its space group is No. 123. The calculation puts the total moment at 2.55 μB/cell.